La6TlOs2Cl3: relaxed, PBE-GGA.

- Calculated density: 6.69 g/cm³
- DOS at the Fermi energy: 6.13 states/eV/cell
- ΔE_f (raw): -0.960 eV/atom

Lattice parameters (Å, degrees): 10.6059 10.6059 9.0772 104.64 104.64 22.57
Last column: nearest neighbours and their distance in Å.
Element x y z (fractional)
La 0.0373 0.0373 0.2842  1 Os 2.66
La 0.3136 0.3136 0.4187  3 Os 2.90-2.92
La 0.3342 0.3342 0.8719  2 Os 2.87, 1 Cl 3.14
La 0.6658 0.6658 0.1281  2 Os 2.87, 1 Cl 3.14
La 0.6864 0.6864 0.5813  3 Os 2.90-2.92
La 0.9627 0.9627 0.7158  1 Os 2.66
Tl 0.5000 0.5000 0.0000  6 La 3.25-3.34
Os 0.1697 0.1697 0.3481  6 La 2.66-2.92
Os 0.8303 0.8303 0.6519  6 La 2.66-2.92
Cl 0.1819 0.1819 0.8564  5 La 3.14-3.31
Cl 0.5000 0.5000 0.5000  4 La 3.09
Cl 0.8181 0.8181 0.1436  5 La 3.14-3.31

---

LaZn2OsCl: relaxed, PBE-GGA.

- Calculated density: 7.30 g/cm³
- DOS at the Fermi energy: 5.08 states/eV/cell
- ΔE_f (raw): 0.711 eV/atom

Lattice parameters (Å, degrees): 4.6005 4.6005 5.3235 90.00 90.00 90.00
Last column: nearest neighbours and their distance in Å.
Element x y z (fractional)
La 0.0000 0.0000 0.0000  2 Cl 2.66
Zn 0.0000 0.5000 0.5000  2 Cl 2.30
Zn 0.5000 0.0000 0.5000  2 Cl 2.30
Os 0.5000 0.5000 0.0000  4 La 3.25, 8 Zn 3.52
Cl 0.0000 0.0000 0.5000  4 Zn 2.30

---

La6ZnOs2Cl3: relaxed, PBE-GGA.

- Calculated density: 6.49 g/cm³
- DOS at the Fermi energy: 6.82 states/eV/cell
- ΔE_f (raw): -0.958 eV/atom

Lattice parameters (Å, degrees): 7.3122 7.3122 8.0347 98.65 98.65 120.08
Last column: nearest neighbours and their distance in Å.
Element x y z (fractional)
La 0.0716 0.4307 0.7911  2 Os 2.84-2.85, 1 Zn 3.08, 1 Cl 3.15
La 0.2105 0.2105 0.2099  2 Os 2.84, 1 Zn 3.08, 1 Cl 3.16
La 0.4307 0.0716 0.7911  2 Os 2.84-2.85, 1 Zn 3.08, 1 Cl 3.15
La 0.5693 0.9284 0.2089  2 Os 2.84-2.85, 1 Zn 3.08, 1 Cl 3.15
La 0.7895 0.7895 0.7901  2 Os 2.84, 1 Zn 3.08, 1 Cl 3.16
La 0.9284 0.5693 0.2089  2 Os 2.84-2.85, 1 Zn 3.08, 1 Cl 3.15
Zn 0.5000 0.5000 0.0000  6 La 3.08
Os 0.1663 0.8337 0.0000  6 La 2.84-2.85
Os 0.8337 0.1663 0.0000  6 La 2.84-2.85
Cl 0.0000 0.0000 0.5000  6 La 3.16-3.38
Cl 0.3305 0.6695 0.5000  6 La 3.15-3.40
Cl 0.6695 0.3305 0.5000  6 La 3.15-3.40

---

La4PCl: relaxed, PBE-GGA.

- Calculated density: 5.72 g/cm³
- DOS at the Fermi energy: 5.55 states/eV/cell
- ΔE_f (raw): -0.011 eV/atom

Lattice parameters (Å, degrees): 6.3432 6.3432 6.3432 60.00 60.00 60.00
Last column: nearest neighbours and their distance in Å.
Element x y z (fractional)
La 0.1231 0.1231 0.1231  6 La 3.12-3.22
La 0.1231 0.1231 0.6306  6 La 3.12-3.22
La 0.1231 0.6306 0.1231  6 La 3.12-3.22
La 0.6306 0.1231 0.1231  6 La 3.12-3.22
P 0.7500 0.7500 0.7500  12 La 3.71, 4 Cl 3.88
Cl 0.5000 0.5000 0.5000  12 La 3.72, 4 P 3.88

---

La2PCl: relaxed, PBE-GGA.

- Calculated density: 5.92 g/cm³
- DOS at the Fermi energy: 3.20 states/eV/cell
- ΔE_f (raw): -1.434 eV/atom

Lattice parameters (Å, degrees): 3.6273 3.6273 7.3364 90.00 90.00 90.00
Last column: nearest neighbours and their distance in Å.
Element x y z (fractional)
La 0.0000 0.0000 0.2280  4 P 3.06, 4 Cl 3.25, 1 La 3.34
La 0.0000 0.0000 0.7720  4 P 3.06, 4 Cl 3.25, 1 La 3.34
P 0.5000 0.5000 0.0000  8 La 3.06
Cl 0.5000 0.5000 0.5000  8 La 3.25, 4 Cl 3.63

---

La5P4Cl: relaxed, PBE-GGA.

- Calculated density: 5.20 g/cm³
- DOS at the Fermi energy: 3.69 states/eV/cell
- ΔE_f (raw): -1.680 eV/atom

Lattice parameters (Å, degrees): 7.3746 7.3746 7.3746 99.54 99.54 131.95
Last column: nearest neighbours and their distance in Å.
Element x y z (fractional)
La 0.0000 0.0000 0.0000  4 P 2.98, 2 Cl 3.00
La 0.1887 0.6048 0.7935  5 P 2.92-3.05, 1 Cl 3.13
La 0.3952 0.1887 0.5839  5 P 2.92-3.05, 1 Cl 3.13
La 0.6048 0.8113 0.4161  5 P 2.92-3.05, 1 Cl 3.13
La 0.8113 0.3952 0.2065  5 P 2.92-3.05, 1 Cl 3.13
P 0.1012 0.2965 0.3977  6 La 2.92-3.05
P 0.2965 0.8988 0.1953  6 La 2.92-3.05
P 0.7035 0.1012 0.8047  6 La 2.92-3.05
P 0.8988 0.7035 0.6023  6 La 2.92-3.05
Cl 0.5000 0.5000 0.0000  6 La 3.00-3.13

---

LaPCl2: relaxed, PBE-GGA.

- Calculated density: 3.14 g/cm³
- DOS at the Fermi energy: 3.02 states/eV/cell
- Energy relative to the lowest polymorph listed for this composition: 736 meV/atom
- ΔE_f (raw): -0.680 eV/atom

Lattice parameters (Å, degrees): 10.9331 10.9331 10.9331 19.51 19.51 19.51
Last column: nearest neighbours and their distance in Å.
Element x y z (fractional)
La 0.0000 0.0000 0.0000  6 Cl 2.86
P 0.5000 0.5000 0.5000  6 P 3.71, 6 Cl 4.07
Cl 0.2743 0.2743 0.2743  3 La 2.86
Cl 0.7257 0.7257 0.7257  3 La 2.86

---

LaP2Cl: relaxed, PBE-GGA.

- Calculated density: 3.83 g/cm³
- DOS at the Fermi energy: 3.49 states/eV/cell
- Energy relative to the lowest polymorph listed for this composition: 225 meV/atom
- ΔE_f (raw): -0.902 eV/atom

Lattice parameters (Å, degrees): 4.2224 4.2097 5.7565 90.00 90.15 90.00
Last column: nearest neighbours and their distance in Å.
Element x y z (fractional)
La 0.0000 0.0000 0.0000  2 Cl 2.88, 8 P 3.16
P 0.4998 0.5000 0.1815  1 P 2.09
P 0.5002 0.5000 0.8185  1 P 2.09
Cl 0.0000 0.0000 0.5000  2 La 2.88